This record from OQMD via LeMat-Bulk describes a geometry-optimized DyHoTlAu2 structure. The functional is PBE.

Cell lengths 3.561, 4.536, 14.796 Å; angles 90.00, 90.00, 90.00 degrees
Space group Amm2 (No. 38)
Unique sites:
Dy: 0.000 0.000 0.000
Ho: 0.000 0.000 0.261
Tl: 0.500 0.000 0.630
Au: 0.500 0.000 0.434
Au: 0.500 0.000 0.825

Summary:
Its total magnetization is 0.02 μB/cell. The value obtained for the raw total energy is -4.28 eV per atom.

This record from OQMD via LeMat-Bulk describes a geometry-optimized DyInAu6 structure. The functional is PBE.

Cell lengths 5.043, 5.956, 5.201 Å; angles 90.00, 90.00, 90.00 degrees
Space group Pmm2 (No. 25)
Unique sites:
Dy: 0.000 0.000 0.000
In: 0.500 0.500 0.316
Au: 0.000 0.257 0.500
Au: 0.000 0.500 0.998
Au: 0.500 0.000 0.324
Au: 0.500 0.250 0.821

Summary:
Its total magnetization is 0.00 μB/cell. The value obtained for the raw total energy is -3.77 eV per atom.

This record from OQMD via LeMat-Bulk describes a geometry-optimized DyInAu2 structure. The functional is PBE.

Cell lengths 4.548, 3.777, 10.594 Å; angles 90.00, 90.00, 90.00 degrees
Space group Amm2 (No. 38)
Unique sites:
Dy: 0.000 0.000 0.000
In: 0.500 0.000 0.284
Au: 0.000 0.000 0.725
Au: 0.500 0.000 0.555

Summary:
Its total magnetization is 0.00 μB/cell. The value obtained for the raw total energy is -4.06 eV per atom.

This record from OQMD via LeMat-Bulk describes a geometry-optimized Dy5In4Au structure. The functional is PBE.

Cell lengths 3.575, 3.575, 20.192 Å; angles 90.00, 90.00, 90.00 degrees
Space group P4/mmm (No. 123)
Unique sites:
Dy: 0.000 0.000 0.000
Dy: 0.000 0.000 0.206
Dy: 0.000 0.000 0.412
In: 0.500 0.500 0.103
In: 0.500 0.500 0.308
Au: 0.500 0.500 0.500

Summary:
Its total magnetization is 0.01 μB/cell. The value obtained for the raw total energy is -4.27 eV per atom.